[1]
8
Lattice="6.702 -2.905 0.000 6.702 2.905 0.000 -2.519 0.000 5.236" Properties=species:S:1:pos:R:3 comment="Ac2HRu | Alexandria via LeMat-Bulk | PBE | optimized geometry" polymorph_energy_mev_per_atom=0 total_energy_ev_per_atom=-5.47 pbc="T T T"
Ac 0.681 0.000 1.940
Ac 4.662 0.000 0.631
Ac 6.223 0.000 4.605
Ac 10.204 0.000 3.296
H 3.453 0.000 3.270
H 7.432 0.000 1.967
Ru -0.530 0.000 4.582
Ru 11.415 0.000 0.655


[2]
4
Lattice="2.133 1.232 6.497 -2.133 1.232 6.497 0.000 -2.463 6.497" Properties=species:S:1:pos:R:3 comment="Ac2HRu | Alexandria via LeMat-Bulk | PBE | optimized geometry" polymorph_energy_mev_per_atom=75 total_energy_ev_per_atom=-5.39 pbc="T T T"
Ac 0.000 0.000 4.876
Ac 0.000 0.000 14.615
H 0.000 0.000 0.000
Ru 0.000 0.000 9.745


[3]
7
Lattice="4.005 -2.683 0.000 4.005 2.683 0.000 -1.767 0.000 3.330" Properties=species:S:1:pos:R:3 comment="AcH5Ru | Alexandria via LeMat-Bulk | PBE | optimized geometry" total_energy_ev_per_atom=-4.68 pbc="T T T"
Ac 0.000 0.000 0.000
H 2.098 1.249 1.122
H 4.145 1.249 2.208
H 4.005 0.000 0.000
H 2.098 -1.249 1.122
H 4.145 -1.249 2.208
Ru 3.122 0.000 1.665


[4]
80
Lattice="-8.295 8.295 8.295 8.295 -8.295 8.295 8.295 8.295 -8.295" Properties=species:S:1:pos:R:3 comment="Ac12H5Ru3 | Alexandria via LeMat-Bulk | PBE | optimized geometry" total_energy_ev_per_atom=-4.86 pbc="T T T"
Ac 2.574 -0.526 1.070
Ac 9.868 5.218 -4.674
Ac 7.769 -1.070 2.574
Ac 12.969 -1.573 3.078
Ac 10.869 0.526 1.070
Ac 9.868 -3.078 4.674
Ac 1.070 2.574 -0.526
Ac 11.373 3.621 -1.573
Ac 5.218 4.674 -1.573
Ac 7.225 2.574 0.526
Ac -0.526 1.070 2.574
Ac 4.674 -1.573 5.218
Ac 7.769 7.225 -2.574
Ac 4.674 1.573 3.078
Ac 7.225 -2.574 7.769
Ac 5.218 -4.674 9.868
Ac 3.078 4.674 1.573
Ac 9.365 5.721 0.526
Ac 2.574 7.769 -1.070
Ac 9.868 3.078 3.621
Ac 4.674 9.868 -3.078
Ac 7.769 1.070 5.721
Ac 1.573 3.078 4.674
Ac 2.574 0.526 7.225
Ac 5.721 7.769 1.070
Ac 6.722 5.218 3.621
Ac 0.526 7.225 2.574
Ac 3.621 -1.573 11.373
Ac -1.573 5.218 4.674
Ac 5.721 0.526 9.365
Ac -1.070 2.574 7.769
Ac 5.218 3.621 6.722
Ac 3.078 12.969 -1.573
Ac 1.070 10.869 0.526
Ac 3.621 6.722 5.218
Ac 0.526 1.070 10.869
Ac 3.621 9.868 3.078
Ac 8.821 7.225 5.721
Ac 1.070 5.721 7.769
Ac 3.078 3.621 9.868
Ac -3.078 4.674 9.868
Ac 7.225 5.721 8.821
Ac -1.573 11.373 3.621
Ac -2.574 7.769 7.225
Ac -4.674 9.868 5.218
Ac 0.526 9.365 5.721
Ac -1.573 3.078 12.969
Ac 5.721 8.821 7.225
H 0.000 0.000 0.000
H 4.148 4.148 -4.148
H 4.148 -4.148 4.148
H 8.295 0.000 0.000
H 12.443 2.074 0.000
H 8.295 -4.148 6.221
H 6.221 8.295 -4.148
H 6.221 0.000 4.148
H 4.148 6.221 0.000
H 8.295 4.148 2.074
H -4.148 4.148 4.148
H 0.000 8.295 0.000
H 0.000 0.000 8.295
H 4.148 4.148 4.148
H 0.000 4.148 6.221
H 4.148 2.074 8.295
H 2.074 8.295 4.148
H 2.074 0.000 12.443
H 0.000 12.443 2.074
H -4.148 6.221 8.295
Ru 4.148 2.074 0.000
Ru 8.295 4.148 -2.074
Ru 2.074 0.000 4.148
Ru 10.369 0.000 4.148
Ru 0.000 4.148 2.074
Ru 4.148 -2.074 8.295
Ru 4.148 10.369 0.000
Ru 8.295 4.148 6.221
Ru -2.074 8.295 4.148
Ru 6.221 8.295 4.148
Ru 0.000 4.148 10.369
Ru 4.148 6.221 8.295


Please write out number 2 again, unchanged.
4
Lattice="2.133 1.232 6.497 -2.133 1.232 6.497 0.000 -2.463 6.497" Properties=species:S:1:pos:R:3 comment="Ac2HRu | Alexandria via LeMat-Bulk | PBE | optimized geometry" polymorph_energy_mev_per_atom=75 total_energy_ev_per_atom=-5.39 pbc="T T T"
Ac 0.000 0.000 4.876
Ac 0.000 0.000 14.615
H 0.000 0.000 0.000
Ru 0.000 0.000 9.745


Repeat the first record exactly.
8
Lattice="6.702 -2.905 0.000 6.702 2.905 0.000 -2.519 0.000 5.236" Properties=species:S:1:pos:R:3 comment="Ac2HRu | Alexandria via LeMat-Bulk | PBE | optimized geometry" polymorph_energy_mev_per_atom=0 total_energy_ev_per_atom=-5.47 pbc="T T T"
Ac 0.681 0.000 1.940
Ac 4.662 0.000 0.631
Ac 6.223 0.000 4.605
Ac 10.204 0.000 3.296
H 3.453 0.000 3.270
H 7.432 0.000 1.967
Ru -0.530 0.000 4.582
Ru 11.415 0.000 0.655


Copy entry 4 word for word.
80
Lattice="-8.295 8.295 8.295 8.295 -8.295 8.295 8.295 8.295 -8.295" Properties=species:S:1:pos:R:3 comment="Ac12H5Ru3 | Alexandria via LeMat-Bulk | PBE | optimized geometry" total_energy_ev_per_atom=-4.86 pbc="T T T"
Ac 2.574 -0.526 1.070
Ac 9.868 5.218 -4.674
Ac 7.769 -1.070 2.574
Ac 12.969 -1.573 3.078
Ac 10.869 0.526 1.070
Ac 9.868 -3.078 4.674
Ac 1.070 2.574 -0.526
Ac 11.373 3.621 -1.573
Ac 5.218 4.674 -1.573
Ac 7.225 2.574 0.526
Ac -0.526 1.070 2.574
Ac 4.674 -1.573 5.218
Ac 7.769 7.225 -2.574
Ac 4.674 1.573 3.078
Ac 7.225 -2.574 7.769
Ac 5.218 -4.674 9.868
Ac 3.078 4.674 1.573
Ac 9.365 5.721 0.526
Ac 2.574 7.769 -1.070
Ac 9.868 3.078 3.621
Ac 4.674 9.868 -3.078
Ac 7.769 1.070 5.721
Ac 1.573 3.078 4.674
Ac 2.574 0.526 7.225
Ac 5.721 7.769 1.070
Ac 6.722 5.218 3.621
Ac 0.526 7.225 2.574
Ac 3.621 -1.573 11.373
Ac -1.573 5.218 4.674
Ac 5.721 0.526 9.365
Ac -1.070 2.574 7.769
Ac 5.218 3.621 6.722
Ac 3.078 12.969 -1.573
Ac 1.070 10.869 0.526
Ac 3.621 6.722 5.218
Ac 0.526 1.070 10.869
Ac 3.621 9.868 3.078
Ac 8.821 7.225 5.721
Ac 1.070 5.721 7.769
Ac 3.078 3.621 9.868
Ac -3.078 4.674 9.868
Ac 7.225 5.721 8.821
Ac -1.573 11.373 3.621
Ac -2.574 7.769 7.225
Ac -4.674 9.868 5.218
Ac 0.526 9.365 5.721
Ac -1.573 3.078 12.969
Ac 5.721 8.821 7.225
H 0.000 0.000 0.000
H 4.148 4.148 -4.148
H 4.148 -4.148 4.148
H 8.295 0.000 0.000
H 12.443 2.074 0.000
H 8.295 -4.148 6.221
H 6.221 8.295 -4.148
H 6.221 0.000 4.148
H 4.148 6.221 0.000
H 8.295 4.148 2.074
H -4.148 4.148 4.148
H 0.000 8.295 0.000
H 0.000 0.000 8.295
H 4.148 4.148 4.148
H 0.000 4.148 6.221
H 4.148 2.074 8.295
H 2.074 8.295 4.148
H 2.074 0.000 12.443
H 0.000 12.443 2.074
H -4.148 6.221 8.295
Ru 4.148 2.074 0.000
Ru 8.295 4.148 -2.074
Ru 2.074 0.000 4.148
Ru 10.369 0.000 4.148
Ru 0.000 4.148 2.074
Ru 4.148 -2.074 8.295
Ru 4.148 10.369 0.000
Ru 8.295 4.148 6.221
Ru -2.074 8.295 4.148
Ru 6.221 8.295 4.148
Ru 0.000 4.148 10.369
Ru 4.148 6.221 8.295